1.
{"formula": "PrYEr6", "functional": "PBE", "state": "relaxed", "cell": [[8.5285, 0.6586, -0.1588], [4.7490, 8.3354, -0.1336], [4.1120, 3.2386, 3.7322]], "species": ["Er", "Er", "Pr", "Er", "Y", "Er", "Er", "Er"], "fractional_positions": [[0.9546, 0.4532, 0.8444], [0.2523, 0.0455, 0.2493], [0.0000, 0.0000, 0.0000], [0.5469, 0.7478, 0.6601], [0.5000, 0.5000, 0.5000], [0.7477, 0.9545, 0.7507], [0.4531, 0.2522, 0.3399], [0.0454, 0.5468, 0.1556]], "space_group": "No. 148", "vol_a3_per_atom": 32.496, "polymorph_energy_mev_per_atom": 127, "mass_density_g_cm3": 7.9}

=====

2.
{"formula": "PmGa3Cu5", "functional": "PBE", "state": "relaxed", "cell": [[-0.6168, -3.8766, -0.5002], [1.4765, 0.9653, 6.3502], [-11.4041, 1.5018, 2.4233]], "species": ["Cu", "Ga", "Cu", "Ga", "Cu", "Pm", "Cu", "Cu", "Ga", "Pm", "Cu", "Cu", "Cu", "Cu", "Ga", "Ga", "Cu", "Ga"], "fractional_positions": [[0.8094, 0.6188, 0.0593], [0.6206, 0.2413, 0.4459], [0.0000, 0.0000, 0.5000], [0.6206, 0.2413, 0.0541], [0.0000, 0.0000, 0.0000], [0.1776, 0.3552, 0.2500], [0.5526, 0.1052, 0.8553], [0.1906, 0.3812, 0.9407], [0.8875, 0.7751, 0.2500], [0.8224, 0.6448, 0.7500], [0.4474, 0.8948, 0.1447], [0.1906, 0.3812, 0.5593], [0.8094, 0.6188, 0.4407], [0.5526, 0.1052, 0.6447], [0.3794, 0.7587, 0.9459], [0.3794, 0.7587, 0.5541], [0.4474, 0.8948, 0.3553], [0.1125, 0.2249, 0.7500]], "space_group": "No. 63", "vol_a3_per_atom": 16.246, "mass_density_g_cm3": 7.6, "energy_ev_per_atom": -4.041}

=====

3.
{"formula": "Sm2Er3Hg2", "functional": "PBE", "state": "relaxed", "cell": [[5.3780, 0.0000, 0.0000], [-2.6890, 4.6491, -0.3391], [0.0000, -2.5113, 8.1446]], "species": ["Sm", "Er", "Hg", "Er", "Sm", "Er", "Hg"], "fractional_positions": [[0.9245, 0.8490, 0.2728], [0.3427, 0.6853, 0.5280], [0.7858, 0.5716, 0.8572], [0.5000, 0.0000, 0.0000], [0.0755, 0.1510, 0.7272], [0.6573, 0.3147, 0.4720], [0.2142, 0.4284, 0.1428]], "space_group": "No. 12", "vol_a3_per_atom": 28.437, "mass_density_g_cm3": 10.0, "energy_ev_per_atom": -3.621}

=====

4.
{"formula": "Tl2CoC", "functional": "PBE", "state": "relaxed", "cell": [[-4.2385, -1.3668, 1.3001], [-3.7077, 2.5490, -1.1306], [-3.0082, -1.5594, -3.1690]], "species": ["Co", "Tl", "C", "Tl"], "fractional_positions": [[0.5000, 0.5000, 0.5000], [0.7500, 0.7500, 0.7500], [0.0000, 0.0000, 0.0000], [0.2500, 0.2500, 0.2500]], "space_group": "No. 225", "vol_a3_per_atom": 17.651, "polymorph_energy_mev_per_atom": 103, "mass_density_g_cm3": 11.3}

=====

5.
{"formula": "LiS3Br", "functional": "PBE", "state": "relaxed", "cell": [[-1.8351, -4.0505, -2.0915], [-0.0357, -2.2418, 4.3729], [-4.5585, 1.6482, 0.8077]], "species": ["Li", "S", "S", "Br", "S"], "fractional_positions": [[0.5000, 0.5000, 0.5000], [0.0000, 0.5000, 0.0000], [0.5000, 0.0000, 0.0000], [0.0000, 0.0000, 0.0000], [0.0000, 0.0000, 0.5000]], "space_group": "No. 221", "vol_a3_per_atom": 23.734, "polymorph_energy_mev_per_atom": 0, "mass_density_g_cm3": 2.6, "formation_energy_uncorrected_mev_per_atom": 636}

=====

6.
{"formula": "Mg2MoPbC", "functional": "PBE", "state": "relaxed", "cell": [[-1.6897, 5.0118, -1.8010], [-1.0152, -1.7912, -4.0320], [-5.1761, -1.1010, 1.7923]], "species": ["Mo", "Mg", "Mg", "C", "Pb"], "fractional_positions": [[0.5000, 0.5000, 0.5000], [0.0000, 0.0000, 0.5000], [0.5000, 0.0000, 0.0000], [0.0000, 0.5000, 0.0000], [0.0000, 0.0000, 0.0000]], "space_group": "No. 123", "vol_a3_per_atom": 28.265, "mass_density_g_cm3": 4.3, "energy_ev_per_atom": -3.274}

=====

7.
{"formula": "Al2BiI", "functional": "PBE", "state": "relaxed", "cell": [[-6.5237, -1.9999, -3.5740], [-3.3499, -1.2613, 6.8205], [-6.2767, 2.5383, 1.7361]], "species": ["Al", "Bi", "I", "Al", "I", "Bi", "Al", "Al"], "fractional_positions": [[0.8750, 0.8935, 0.7500], [0.0000, 0.0000, 0.0000], [0.2500, 0.7500, 0.5000], [0.3750, 0.3565, 0.7500], [0.5000, 0.5000, 0.0000], [0.7500, 0.2500, 0.5000], [0.1065, 0.6250, 0.2500], [0.6435, 0.1250, 0.2500]], "space_group": "No. 122", "vol_a3_per_atom": 32.487, "polymorph_energy_mev_per_atom": 2, "mass_density_g_cm3": 5.0, "formation_energy_uncorrected_mev_per_atom": 316}

=====

8.
{"formula": "LiEuLuCu", "functional": "PBE", "state": "relaxed", "cell": [[-1.9394, 3.6781, 2.9372], [1.0352, 0.0891, 4.9837], [3.0448, 3.6089, 1.9032]], "species": ["Cu", "Lu", "Eu", "Li"], "fractional_positions": [[0.2500, 0.2500, 0.2500], [0.5000, 0.5000, 0.5000], [0.0000, 0.0000, 0.0000], [0.7500, 0.7500, 0.7500]], "space_group": "No. 216", "vol_a3_per_atom": 23.323, "mass_density_g_cm3": 7.1, "energy_ev_per_atom": -5.177}